No. 1
# HRu2IBr GGA-PBE optimized geometry
data_HRu2IBr
_cell_length_a 4.656
_cell_length_b 4.656
_cell_length_c 6.823
_cell_angle_alpha 90.00
_cell_angle_beta 90.00
_cell_angle_gamma 90.00
_symmetry_space_group_name_H-M 'P 4/m m m'
_symmetry_Int_Tables_number 123
_symmetry_space_group_name_Hall '-P 4 2'
loop_
_atom_site_label
_atom_site_type_symbol
_atom_site_fract_x
_atom_site_fract_y
_atom_site_fract_z
H1 H 0.000 0.000 0.000
Ru1 Ru 0.000 0.500 0.500
I1 I 0.500 0.500 0.000
Br1 Br 0.500 0.500 0.500
# Total magnetization (Bohr magnetons per cell): 5.02
# DOS(E_F) (states/eV per atom): 1.083
# Raw total energy (Ry per atom): -0.2329

=====

No. 2
# CsRbNa2I GGA-PBE optimized geometry
data_CsRbNa2I
_cell_length_a 7.073
_cell_length_b 7.073
_cell_length_c 6.992
_cell_angle_alpha 90.00
_cell_angle_beta 90.00
_cell_angle_gamma 90.00
_symmetry_space_group_name_H-M 'P 4/m m m'
_symmetry_Int_Tables_number 123
_symmetry_space_group_name_Hall '-P 4 2'
loop_
_atom_site_label
_atom_site_type_symbol
_atom_site_fract_x
_atom_site_fract_y
_atom_site_fract_z
Cs1 Cs 0.000 0.000 0.000
Rb1 Rb 0.500 0.500 0.500
Na1 Na 0.000 0.500 0.500
I1 I 0.500 0.500 0.000
# Total magnetization (Bohr magnetons per cell): 0.00
# Formation energy without anion corrections (kJ/mol of formula units): -131
# Energy above the lowest structure with this stoichiometry (eV per atom): 0.089
# DOS(E_F) (states/eV per atom): 0.609
# Raw total energy (Ry per atom): -0.1082